! BaSn2Au3 | Alexandria | PBE-GGA | optimized geometry; values from VASP
! Formation enthalpy at 0 K ... -0.465 eV per atom
! DOS at the Fermi energy ... 4.771 states/eV/cell
! SG ... C2/m (12)
! M_tot ... 0.00 μB per cell
&SYSTEM
  ibrav = 0, nat = 12, ntyp = 3
/
ATOMIC_SPECIES
Ba 137.33 Ba.upf
Sn 118.71 Sn.upf
Au 196.97 Au.upf
ATOMIC_POSITIONS crystal
Ba 0.8403 0.6805 0.8991
Ba 0.1597 0.3195 0.1009
Sn 0.4747 0.9494 0.8013
Sn 0.5253 0.0506 0.1987
Sn 0.8416 0.6831 0.3865
Sn 0.1584 0.3169 0.6135
Au 0.3068 0.6137 0.5723
Au 0.0028 0.0055 0.6774
Au 0.6213 0.2425 0.7413
Au 0.3787 0.7575 0.2587
Au 0.9972 0.9945 0.3226
Au 0.6932 0.3863 0.4277
CELL_PARAMETERS angstrom
-4.3750 1.0982 -1.6506
4.6356 -3.1330 -7.3824
-3.2675 -5.9015 4.7343